Model P:
YCdInHg: relaxed, PBE.

Cell: 4.324 4.744 4.754 Å, 90.00 90.00 90.00°
Space group Pmmm (No. 47)
Inequivalent atoms, fractional coordinates:
Y  0.000  0.000  0.000 x1
Cd  0.000  0.500  0.500 x1
In  0.500  0.500  0.000 x1
Hg  0.500  0.000  0.500 x1

---

Model Q:
YCdInHg: relaxed, PBE.

Cell: 7.309 7.309 7.309 Å, 90.00 90.00 90.00°
Space group F-43m (No. 216)
Inequivalent atoms, fractional coordinates:
Y  0.000  0.000  0.000 x4
Cd  0.000  0.000  0.500 x4
In  0.250  0.250  0.750 x4
Hg  0.250  0.250  0.250 x4

---

Relative to the most stable structure, the computed energies are model P 0.000; model Q 0.052, all in eV/atom.

---

Model P:
CdHgIr: relaxed, PBE.

Cell: 3.031 5.150 14.496 Å, 90.00 90.00 90.00°
Space group Fmm2 (No. 42)
Inequivalent atoms, fractional coordinates:
Cd  0.000  0.000  0.000 x4
Hg  0.000  0.000  0.680 x4
Ir  0.000  0.000  0.342 x4

---

Model Q:
CdHgIr: relaxed, PBE.

Cell: 3.0174 3.0174 7.1229 Å, 90.00 90.00 120.00°
Space group P3m1 (No. 156)
Inequivalent atoms, fractional coordinates:
Cd  0.0000  0.0000  0.0000 x1
Hg  0.6667  0.3333  0.3635 x1
Ir  0.3333  0.6667  0.6884 x1

---

Relative to the most stable structure, the computed energies are model P 0.034; model Q 0.000, all in eV/atom.